Crystalline Th2CuAs4Pd3 at its relaxed geometry, computed with GGA-PBE.

V = 193.6 Å³/cell
size of the total moment = 0.000 Bohr magnetons per cell
E_form = -747 meV per atom
crystal system = tetragonal

Cell: 4.302 4.302 10.463 Å, 90.00 90.00 90.00°
Space group P-4m2 (No. 115)
Inequivalent atoms, fractional coordinates:
Th 0.000 0.500 0.243 x2
Cu 0.500 0.500 0.000 x1
As 0.000 0.000 0.500 x1
As 0.000 0.500 0.870 x2
As 0.500 0.500 0.500 x1
Pd 0.000 0.000 0.000 x1
Pd 0.000 0.500 0.637 x2

***

Crystalline K2LaW at its relaxed geometry, computed with GGA-PBE.

V = 122.3 Å³/cell
size of the total moment = 0.137 Bohr magnetons per cell
polymorph energy (0 for the lowest one) = 45.96 kJ/mol of atoms
E_form = 1376 meV per atom
crystal system = tetragonal

Cell: 3.006 3.006 13.532 Å, 90.00 90.00 90.00°
Space group P4/mmm (No. 123)
Inequivalent atoms, fractional coordinates:
K 0.000 0.000 0.211 x2
La 0.500 0.500 0.500 x1
W 0.500 0.500 0.000 x1

***

Crystalline TmScMnTc at its relaxed geometry, computed with GGA-PBE.

V = 301.2 Å³/cell
size of the total moment = 14.472 Bohr magnetons per cell
E_form = 14 meV per atom
crystal system = cubic

Cell: 6.703 6.703 6.703 Å, 90.00 90.00 90.00°
Space group F-43m (No. 216)
Inequivalent atoms, fractional coordinates:
Tm 0.000 0.000 0.000 x4
Sc 0.000 0.000 0.500 x4
Mn 0.250 0.250 0.250 x4
Tc 0.250 0.250 0.750 x4

***

Crystalline TiSnIO2 at its relaxed geometry, computed with GGA-PBE.

formation energy from raw total energies = -0.302 eV per atom
V = 106.5 Å³/cell
size of the total moment = 2.502 Bohr magnetons per cell
polymorph energy (0 for the lowest one) = 65.45 kJ/mol of atoms
crystal system = tetragonal

Cell: 4.073 4.073 6.420 Å, 90.00 90.00 90.00°
Space group P4/mmm (No. 123)
Inequivalent atoms, fractional coordinates:
Ti 0.000 0.000 0.000 x1
Sn 0.500 0.500 0.500 x1
I 0.500 0.500 0.000 x1
O 0.000 0.500 0.500 x2

***

Crystalline In2Rh2Au at its relaxed geometry, computed with GGA-PBE.

V = 180.5 Å³/cell
size of the total moment = 0.000 Bohr magnetons per cell
polymorph energy (0 for the lowest one) = 0.00 kJ/mol of atoms
E_form = -255 meV per atom
crystal system = tetragonal

Cell: 7.520 7.520 3.193 Å, 90.00 90.00 90.00°
Space group P4/mbm (No. 127)
Inequivalent atoms, fractional coordinates:
In 0.163 0.337 0.000 x4
Rh 0.136 0.636 0.500 x4
Au 0.000 0.000 0.500 x2

***

Crystalline CrGa6Br12 at its relaxed geometry, computed with GGA-PBE.

formation energy from raw total energies = -0.452 eV per atom
V = 1952.4 Å³/cell
size of the total moment = 10.420 Bohr magnetons per cell
crystal system = trigonal

Cell: 18.4539 18.4539 6.6197 Å, 90.00 90.00 120.00°
Space group R-3 (No. 148, hexagonal axes)
Inequivalent atoms, fractional coordinates:
Cr 0.0000 0.0000 0.0000 x3
Ga 0.0426 0.9134 0.2561 x18
Br 0.0429 0.2057 0.5007 x18
Br 0.0750 0.8434 0.0019 x18

***

Crystalline Cs2AgCl3F at its relaxed geometry, computed with GGA-PBE.

formation energy from raw total energies = -1.500 eV per atom
V = 442.3 Å³/cell
size of the total moment = 0.000 Bohr magnetons per cell
crystal system = orthorhombic

Cell: 4.907 5.537 16.280 Å, 90.00 90.00 90.00°
Space group Immm (No. 71)
Inequivalent atoms, fractional coordinates:
Cs 0.000 0.000 0.128 x4
Ag 0.000 0.000 0.500 x2
Cl 0.000 0.000 0.349 x4
Cl 0.000 0.500 0.000 x2
F 0.000 0.500 0.500 x2

***

Crystalline Tb3Pr2Tm4 at its relaxed geometry, computed with GGA-PBE.

V = 1149.8 Å³/cell
size of the total moment = 0.000 Bohr magnetons per cell
polymorph energy (0 for the lowest one) = 7.19 kJ/mol of atoms
E_form = 99 meV per atom
crystal system = monoclinic

Cell: 16.546 11.609 6.031 Å, 90.00 97.03 90.00°
Space group C2/c (No. 15)
Inequivalent atoms, fractional coordinates:
Tb 0.000 0.148 0.250 x4
Tb 0.163 0.350 0.089 x8
Pr 0.108 0.118 0.778 x8
Tm 0.060 0.392 0.543 x8
Tm 0.234 0.111 0.367 x8

***

Crystalline Li5Hg3Br12 at its relaxed geometry, computed with GGA-PBE.

formation energy from raw total energies = -0.828 eV per atom
V = 5056.8 Å³/cell
size of the total moment = 0.000 Bohr magnetons per cell
crystal system = cubic

Cell: 17.164 17.164 17.164 Å, 90.00 90.00 90.00°
Space group Ia-3d (No. 230)
Inequivalent atoms, fractional coordinates:
Li 0.000 0.000 0.000 x16
Li 0.000 0.250 0.375 x24
Hg 0.000 0.250 0.125 x24
Br 0.005 0.029 0.346 x96

***

Crystalline InGaHg at its relaxed geometry, computed with GGA-PBE.

V = 298.2 Å³/cell
size of the total moment = 0.000 Bohr magnetons per cell
E_form = 55 meV per atom
crystal system = orthorhombic

Cell: 8.466 4.016 8.769 Å, 90.00 90.00 90.00°
Space group Pnma (No. 62)
Inequivalent atoms, fractional coordinates:
In 0.221 0.250 0.122 x4
Ga 0.096 0.250 0.435 x4
Hg 0.060 0.250 0.816 x4